CaEuSe | PBE-GGA | optimized geometry Values from VASP.

Results
- SG = P3m1, No. 156
- total moment (Bohr magnetons per cell) = 7.5
- E_form (uncorrected) (meV per atom) = -1232
- E (eV per atom) = -6.486
- calculated volume (Å³ per cell) = 104
- mass density (g cm⁻³) = 4.320

Cell and atoms, written as Quantum ESPRESSO input:
```
&SYSTEM
  ibrav = 0, nat = 3, ntyp = 3
/
ATOMIC_SPECIES
Ca 40.08 Ca.upf
Eu 151.96 Eu.upf
Se 78.96 Se.upf
ATOMIC_POSITIONS angstrom
Ca 0.0000 0.0000 0.0000
Eu 2.0715 1.1960 3.4175
Se 0.0000 2.3919 5.2916
CELL_PARAMETERS angstrom
4.1429 0.0000 0.0000
-2.0715 3.5879 0.0000
0.0000 0.0000 7.0080
```

=====

SrAcGa2O6 | PBE-GGA | optimized geometry Values from VASP.

Results
- SG = C2/c, No. 15
- total moment (Bohr magnetons per cell) = 2.1
- E_form (uncorrected) (meV per atom) = -2264
- E (eV per atom) = -6.423
- calculated volume (Å³ per cell) = 340
- mass density (g cm⁻³) = 5.377

Cell and atoms, written as Quantum ESPRESSO input:
```
&SYSTEM
  ibrav = 0, nat = 20, ntyp = 4
/
ATOMIC_SPECIES
Sr 87.62 Sr.upf
Ac 227.00 Ac.upf
Ga 69.72 Ga.upf
O 16.00 O.upf
ATOMIC_POSITIONS angstrom
Sr 2.4295 5.3992 5.2622
Sr 3.4645 -5.3992 1.7541
Ac 3.4645 1.0466 1.7541
Ac 2.4295 -1.0466 5.2622
Ga 1.2492 1.9295 4.3967
Ga 2.2842 -1.9295 0.8886
Ga 3.6098 1.9295 6.1278
Ga 4.6448 -1.9295 2.6196
O 1.3090 2.4087 2.3735
O 0.3915 0.2983 4.1625
O 1.4265 -0.2983 0.6543
O 1.7121 1.4700 6.3105
O 3.1469 1.4700 4.2140
O 0.2739 -2.4087 5.8817
O 5.6201 2.4087 1.1347
O 2.7471 -1.4700 2.8024
O 4.1820 -1.4700 0.7058
O 4.4675 0.2983 6.3620
O 5.5026 -0.2983 2.8539
O 4.5850 -2.4087 4.6428
CELL_PARAMETERS angstrom
3.9821 -6.0803 0.0000
3.9821 6.0803 0.0000
-2.0701 0.0000 7.0163
```

=====

ZnIrPd3 | PBE-GGA | optimized geometry Values from VASP.

Results
- ΔH_f (0 K) (eV per atom) = 1.01
- SG = Pm-3m, No. 221
- total moment (Bohr magnetons per cell) = 0.9
- E (eV per atom) = -4.133
- calculated volume (Å³ per cell) = 92
- mass density (g cm⁻³) = 10.371

Cell and atoms, written as Quantum ESPRESSO input:
```
&SYSTEM
  ibrav = 0, nat = 5, ntyp = 3
/
ATOMIC_SPECIES
Zn 65.41 Zn.upf
Ir 192.22 Ir.upf
Pd 106.42 Pd.upf
ATOMIC_POSITIONS angstrom
Zn 0.0000 0.0000 0.0000
Ir 2.2602 2.2602 2.2602
Pd 0.0000 0.0000 2.2602
Pd 0.0000 2.2602 0.0000
Pd 2.2602 0.0000 0.0000
CELL_PARAMETERS angstrom
4.5204 0.0000 0.0000
0.0000 4.5204 0.0000
0.0000 0.0000 4.5204
```